*one*
Material: BeTeRh2
Method: DFT, GGA-PBE
State: optimized geometry

The structure belongs to space group Imm2 (No. 44); the cell edges are 3.2933, 3.7129 and 10.0685 Å and the angles 90.00°, 90.00° and 90.00°. The distinct sites, in fractional coordinates, are Be at (0.0000, 0.0000, 0.0000), Te at (0.0000, 0.5000, 0.2578), Rh at (0.0000, 0.0000, 0.4420) and Rh at (0.0000, 0.5000, 0.6613).

---

*two*
Material: BeTeRh2
Method: DFT, GGA-PBE
State: optimized geometry

The structure belongs to space group P2/m (No. 10); the cell edges are 3.1914, 3.4615 and 5.6669 Å and the angles 90.00°, 103.49° and 90.00°. The distinct sites, in fractional coordinates, are Be at (0.0000, 0.0000, 0.0000), Te at (0.0000, 0.0000, 0.5000) and Rh at (0.3799, 0.5000, 0.2216).

---

Relative to the most stable one, in meV per atom, the structures come out at *one* 0; *two* 43.

---

*one*
Material: Be2TeRh2
Method: DFT, GGA-PBE
State: optimized geometry

The structure belongs to space group I4/mmm (No. 139); the cell edges are 4.1240, 4.1240 and 8.7688 Å and the angles 90.00°, 90.00° and 90.00°. The distinct sites, in fractional coordinates, are Be at (0.0000, 0.0000, 0.1499), Te at (0.0000, 0.0000, 0.5000) and Rh at (0.0000, 0.5000, 0.2500).

---

*two*
Material: Be2TeRh2
Method: DFT, GGA-PBE
State: optimized geometry

The structure belongs to space group P4/mbm (No. 127); the cell edges are 6.6985, 6.6985 and 3.0204 Å and the angles 90.00°, 90.00° and 90.00°. The distinct sites, in fractional coordinates, are Be at (0.1174, 0.3826, 0.0000), Te at (0.0000, 0.0000, 0.0000) and Rh at (0.1610, 0.6610, 0.5000).

---

Relative to the most stable one, in meV per atom, the structures come out at *one* 132; *two* 0.

---

*one*
Material: BeTeRh
Method: DFT, GGA-PBE
State: optimized geometry

The structure belongs to space group P-6m2 (No. 187); the cell edges are 3.9207, 3.9207 and 3.7330 Å and the angles 90.00°, 90.00° and 120.00°. The distinct sites, in fractional coordinates, are Be at (0.0000, 0.0000, 0.0000), Te at (0.3333, 0.6667, 0.5000) and Rh at (0.6667, 0.3333, 0.0000).

---

*two*
Material: BeTeRh
Method: DFT, GGA-PBE
State: optimized geometry

The structure belongs to space group I4mm (No. 107); the cell edges are 3.1425, 3.1425 and 9.9905 Å and the angles 90.00°, 90.00° and 90.00°. The distinct sites, in fractional coordinates, are Be at (0.0000, 0.0000, 0.0000), Te at (0.0000, 0.0000, 0.2872) and Rh at (0.0000, 0.0000, 0.5677).

---

Relative to the most stable one, in meV per atom, the structures come out at *one* 0; *two* 35.